Compound: La2MgCr
Source: Alexandria via LeMat-Bulk
Functional: meta-GGA SCAN
Structure: single point on PBEsol structure

Geometry as CIF:
```
data_La2MgCr
_cell_length_a 5.3108
_cell_length_b 5.3108
_cell_length_c 3.8638
_cell_angle_alpha 90.00
_cell_angle_beta 90.00
_cell_angle_gamma 90.00
_space_group_name_H-M_alt 'P 4/m m m'
_space_group_IT_number 123
_space_group_name_Hall '-P 4 2'
loop_
_atom_site_label
_atom_site_fract_x
_atom_site_fract_y
_atom_site_fract_z
La1 0.0000 0.5000 0.0000
Mg1 0.0000 0.0000 0.5000
Cr1 0.5000 0.5000 0.5000
```

Output
The total DFT energy (no corrections) is -27.366 eV per atom. As for the formation energy from the elements: 0.03 eV/atom.

---

Compound: La2MgCr
Source: Alexandria via LeMat-Bulk
Functional: meta-GGA SCAN
Structure: single point on PBEsol structure

Geometry as CIF:
```
data_La2MgCr
_cell_length_a 3.5858
_cell_length_b 3.5858
_cell_length_c 8.0078
_cell_angle_alpha 90.00
_cell_angle_beta 90.00
_cell_angle_gamma 90.00
_space_group_name_H-M_alt 'P 4 m m'
_space_group_IT_number 99
_space_group_name_Hall 'P 4 -2'
loop_
_atom_site_label
_atom_site_fract_x
_atom_site_fract_y
_atom_site_fract_z
La1 0.0000 0.0000 0.0000
La2 0.5000 0.5000 0.2986
Mg1 0.0000 0.0000 0.5880
Cr1 0.5000 0.5000 0.7721
```

Output
The total DFT energy (no corrections) is -27.262 eV per atom. As for the formation energy from the elements: 0.13 eV/atom.

---

Compound: La2MgCr
Source: Alexandria via LeMat-Bulk
Functional: meta-GGA SCAN
Structure: single point on PBEsol structure

Geometry as CIF:
```
data_La2MgCr
_cell_length_a 3.7023
_cell_length_b 5.3196
_cell_length_c 10.7815
_cell_angle_alpha 90.00
_cell_angle_beta 90.00
_cell_angle_gamma 90.00
_space_group_name_H-M_alt 'I m m 2'
_space_group_IT_number 44
_space_group_name_Hall 'I 2 -2'
loop_
_atom_site_label
_atom_site_fract_x
_atom_site_fract_y
_atom_site_fract_z
La1 0.0000 0.0000 0.0000
La2 0.0000 0.5000 0.2156
Mg1 0.0000 0.5000 0.7795
Cr1 0.0000 0.0000 0.4795
```

Output
The total DFT energy (no corrections) is -27.303 eV per atom. As for the formation energy from the elements: 0.09 eV/atom.